Below is an optimized crystal structure of LiCuW2, with properties calculated at the PBE level.

Cell: 2.6003 4.2548 5.2561 Å, 90.00 98.06 90.00°
Closest atoms and distances in Å follow each position.
Atoms (fractional coordinates):
Li: 0.0000 0.0000 0.0000  2 Cu 2.46, 2 Li 2.60, 3 W 2.70-2.73
Cu: 0.0339 0.5000 0.7685  2 Li 2.46, 2 Cu 2.60
W: 0.4206 0.0000 0.5059  4 W 2.60-2.65, 2 Li 2.73-2.81, 4 Cu 2.80-2.89
W: 0.6630 0.5000 0.2472  4 W 2.60-2.65, 2 Li 2.70, 3 Cu 2.77-2.82

Calculated values
M_tot in μB per cell: 0.0
E_form in eV/atom: 0.35
Raw total energy in eV/atom: -7.63
V in Å³/cell: 57.58